[1]
13
Lattice="5.5054 3.1785 4.4854 -5.5054 3.1785 4.4854 0.0000 -6.3570 4.4854" Properties=species:S:1:pos:R:3 comment="Pm4Ho8Th | the Alexandria database | PBE | optimized geometry" magmom_total_mub_per_atom=0.110 ef_ev_per_atom=0.518 final_energy_ev_per_atom=-4.332 pbc="T T T"
Pm 0.0000 0.0000 0.0000
Pm -2.7527 -1.5893 4.4854
Pm -2.7527 1.5893 8.9708
Pm 0.0000 3.1785 4.4854
Ho 0.0000 0.0000 3.2414
Ho 0.0000 -3.2929 5.5602
Ho -2.8517 1.6464 5.5602
Ho -2.8517 -1.6464 7.8961
Ho 2.8517 1.6464 5.5602
Ho 2.8517 -1.6464 7.8961
Ho 0.0000 3.2929 7.8961
Ho 0.0000 0.0000 10.2148
Th 0.0000 0.0000 6.7281

[2]
3
Lattice="3.5325 0.0000 0.0000 0.0000 3.5325 0.0000 0.0000 0.0000 5.6051" Properties=species:S:1:pos:R:3 comment="VAsI | the Alexandria database | PBE | optimized geometry" magmom_total_mub_per_atom=0.332 raw_formation_energy_ev_per_atom=-0.05 final_energy_ev_per_atom=-5.154 e_above_lowest_polymorph_mev_per_atom=138 pbc="T T T"
V 0.0000 0.0000 0.0000
As 1.7662 1.7662 0.0000
I 0.0000 0.0000 2.8026

[3]
12
Lattice="2.4969 1.4416 8.0765 -2.4969 1.4416 8.0765 0.0000 -2.8832 8.0765" Properties=species:S:1:pos:R:3 comment="Er2ZrFe9 | the Alexandria database | PBE | optimized geometry" magmom_total_mub_per_atom=1.365 ef_ev_per_atom=-0.105 final_energy_ev_per_atom=-7.925 pbc="T T T"
Er 0.0000 0.0000 3.4228
Er 0.0000 0.0000 20.8067
Zr 0.0000 0.0000 0.0000
Fe -1.2491 -0.7212 10.0455
Fe 0.0000 0.0000 8.0650
Fe 0.0000 -1.4423 14.1839
Fe -1.2491 0.7212 14.1839
Fe 0.0000 0.0000 12.1147
Fe 1.2491 -0.7212 10.0455
Fe 0.0000 1.4423 10.0455
Fe 0.0000 0.0000 16.1644
Fe 1.2491 0.7212 14.1839

[4]
8
Lattice="-2.2449 2.2449 8.3018 2.2449 -2.2449 8.3018 2.2449 2.2449 -8.3018" Properties=species:S:1:pos:R:3 comment="Ga2NiPb | the Alexandria database | PBE | optimized geometry" magmom_total_mub_per_atom=0.000 ef_ev_per_atom=0.101 final_energy_ev_per_atom=-3.785 pbc="T T T"
Ga 3.3674 0.6183 -2.0754
Ga 0.6183 1.1225 2.0754
Ga -1.1225 1.6266 6.2263
Ga 1.6266 1.1225 10.3772
Ni 0.0000 0.0000 0.0000
Ni 0.0000 2.2449 4.1509
Pb 2.2449 0.0000 4.1509
Pb 0.0000 0.0000 8.3018